NiAgPb PBE relaxed; magnetic moment = 0.00 μB/atom; energy relative to the elements = 0.31 eV per atom; electronic total energy = -3.808 eV/atom
1.0
4.562 0.000 0.000
-2.281 3.951 0.000
0.000 0.000 3.168
Ni Ag Pb
1 1 1
Direct
0.000 0.000 0.000 Ni
0.667 0.333 0.511 Ag
0.333 0.667 0.015 Pb



AlTcIr2 PBE relaxed; magnetic moment = 0.00 μB/atom; energy relative to the elements = -0.33 eV per atom; electronic total energy = -8.285 eV/atom
1.0
2.838 0.000 0.000
0.000 2.838 0.000
0.000 0.000 7.105
Al Tc Ir
1 1 2
Direct
0.000 0.000 0.000 Al
0.500 0.500 0.747 Tc
0.000 0.000 0.503 Ir
0.500 0.500 0.220 Ir



CuRh3 PBE relaxed; magnetic moment = 0.00 μB/atom; energy relative to the elements = 0.07 eV per atom; electronic total energy = -6.468 eV/atom
1.0
4.680 0.000 0.000
0.000 8.775 0.000
0.000 0.000 5.392
Cu Rh
4 12
Direct
0.083 0.250 0.133 Cu
0.417 0.750 0.633 Cu
0.583 0.250 0.367 Cu
0.917 0.750 0.867 Cu
0.080 0.250 0.631 Rh
0.249 0.501 0.378 Rh
0.249 0.999 0.378 Rh
0.251 0.001 0.878 Rh
0.251 0.499 0.878 Rh
0.420 0.750 0.131 Rh
0.580 0.250 0.869 Rh
0.749 0.501 0.122 Rh
0.749 0.999 0.122 Rh
0.751 0.001 0.622 Rh
0.751 0.499 0.622 Rh
0.920 0.750 0.369 Rh